w.
A relaxed ErCd8Hg6 crystal. Source: Alexandria, functional PBE-GGA.

```
ErCd8Hg6
1.0
-4.9340 -5.1917 3.3159
2.9801 -7.0813 1.8077
1.0909 -1.5466 7.6623
Er Cd Hg
1 8 6
Cartesian
0.0000 0.0000 0.0000
0.4317 -4.7181 8.2171
2.4180 -6.8433 7.2601
-2.4741 -5.6843 8.1825
-0.4996 -7.9999 7.4015
-0.3634 -5.8197 5.3844
1.6110 -8.1352 4.6034
-3.2811 -6.9762 5.5259
-1.2947 -9.1015 4.5688
-1.8617 -8.8781 10.0186
0.2718 -2.8326 4.9976
-2.0199 -4.2257 3.3373
1.1569 -9.5939 9.4487
-1.1349 -10.9869 7.7883
0.9987 -4.9414 2.7674
```

=====

x.
A relaxed ErCd8Hg6 crystal. Source: Alexandria, functional PBE-GGA.

```
ErCd8Hg6
1.0
8.4857 0.0000 0.0000
4.2429 7.3488 0.0000
4.2428 2.4496 6.3051
Er Cd Hg
1 8 6
Cartesian
0.0000 0.0000 0.0000
7.2518 2.6005 2.0901
9.8595 2.6813 4.2149
5.8780 4.8184 4.2149
8.4857 4.8992 0.2196
8.4857 4.8992 6.0855
11.0933 4.9800 2.0901
7.1119 7.1170 2.0901
9.7195 7.1978 4.2149
7.0507 2.2161 5.0378
10.0918 2.3149 1.2673
5.4445 4.8004 1.2673
11.5268 4.9980 5.0378
6.8795 7.4835 5.0378
9.9207 7.5823 1.2673
```

=====

Which one is most stable, and which one is least stable? w is the most stable of them, while x is the least stable.

=====

w.
A relaxed ErCd4Hg7 crystal. Source: Alexandria, functional PBE-GGA.

```
ErCd4Hg7
1.0
6.1737 0.0000 0.0000
3.0869 8.1735 0.5384
3.0869 0.6970 6.1743
Er Cd Hg
1 4 7
Cartesian
0.0000 0.0000 0.0000
6.1737 3.1888 4.3379
6.1737 5.6817 2.3747
9.2606 6.0803 5.4960
3.0869 2.7902 1.2167
6.1737 0.3621 3.0715
6.1737 8.5085 3.6412
3.0869 5.6457 2.4153
9.2606 3.2248 4.2974
6.1737 5.9652 5.4613
3.0869 0.0000 0.0000
6.1737 2.9053 1.2514
```

=====

x.
A relaxed ErCd4Hg7 crystal. Source: Alexandria, functional PBE-GGA.

```
ErCd4Hg7
1.0
-1.8394 5.9975 -1.5831
-4.1246 -0.5153 3.4977
4.6177 5.4368 4.9176
Er Cd Hg
1 4 7
Cartesian
0.0000 0.0000 0.0000
-2.8612 4.8112 3.6156
1.5149 6.1077 3.2167
-1.0653 7.4337 4.5531
-0.2809 3.4852 2.2791
-3.3507 4.3109 0.6617
2.0044 6.6080 6.1705
0.6446 9.1284 2.5631
-1.9908 1.7905 4.2691
-0.2072 4.3903 5.3083
-0.9197 2.9987 -0.7915
-1.1390 6.5286 1.5240
```

=====

Which one is most stable, and which one is least stable? x is the most stable of them, while w is the least stable.

=====

w.
A relaxed Er3CdHg crystal. Source: Alexandria, functional PBE-GGA.

```
Er3CdHg
1.0
5.0073 0.0000 1.1443
0.0000 5.1349 0.0000
0.2486 0.0000 10.4400
Er Cd Hg
6 2 2
Cartesian
3.8576 1.2837 2.1216
2.1502 1.2837 9.5931
3.0014 1.2837 5.8685
1.3449 3.8512 1.5889
4.6448 3.8512 10.2046
0.4938 3.8512 5.3134
3.4267 3.8512 4.0072
5.0758 1.2837 8.3190
2.5843 3.8512 7.6935
0.9108 1.2837 3.4884
```

=====

x.
A relaxed Er3CdHg crystal. Source: Alexandria, functional PBE-GGA.

```
Er3CdHg
1.0
6.1365 -0.8448 0.4713
2.2685 5.7640 0.4713
3.7989 2.2233 15.2528
Er Cd Hg
12 4 4
Cartesian
10.1593 5.9946 13.6748
3.9016 2.3322 10.1471
2.0446 1.1479 2.5207
8.3023 4.8103 6.0484
9.0022 5.3233 10.4452
5.0535 3.0122 13.3766
3.2017 1.8193 5.7502
7.1503 4.1303 2.8188
6.7246 5.6041 15.0668
5.9240 5.1355 8.7550
6.2798 2.0070 7.4404
5.4792 1.5384 1.1286
8.4279 3.4143 13.1616
6.9991 2.5781 10.6602
3.7759 3.7282 3.0338
5.2047 4.5645 5.5352
3.0337 3.9937 7.8621
3.0682 -0.4224 0.2357
5.8940 1.7481 4.2845
6.3099 5.3944 11.9109
```

=====

Which one is most stable, and which one is least stable? w is the most stable of them, while x is the least stable.

=====

w.
A relaxed Er2CdHg6 crystal. Source: Alexandria, functional PBE-GGA.

```
Er2CdHg6
1.0
5.7750 0.0000 1.3244
0.0000 8.7735 0.0000
-1.1450 -4.3867 4.0085
Er Cd Hg
2 1 6
Cartesian
3.5172 4.3867 2.2924
1.1128 0.0000 3.0405
0.0000 0.0000 0.0000
0.5890 2.9366 1.5605
4.0410 -1.4502 3.7725
4.0410 1.4502 3.7725
2.8875 1.4477 0.6622
0.5890 5.8369 1.5605
2.8875 7.3257 0.6622
```

=====

x.
A relaxed Er2CdHg6 crystal. Source: Alexandria, functional PBE-GGA.

```
Er2CdHg6
1.0
5.1783 0.0000 0.0000
-2.5891 4.3842 -0.1058
0.0000 -0.2489 9.3716
Er Cd Hg
2 1 6
Cartesian
0.0000 2.7829 6.7596
2.5891 1.3524 2.5062
0.0000 -0.1244 4.6858
2.5891 1.2451 8.6970
0.0000 2.8902 0.5687
2.5891 4.3000 1.4577
0.0000 2.8142 3.6625
0.0000 -0.1647 7.8081
2.5891 1.3212 5.6033
```

=====

Which one is most stable, and which one is least stable? x is the most stable of them, while w is the least stable.

=====

w.
A relaxed Er2Cd5Hg12 crystal. Source: Alexandria, functional PBE-GGA.

```
Er2Cd5Hg12
1.0
-0.9420 -8.8729 -3.9782
3.8780 1.4061 7.9410
-5.9044 -0.5512 2.6275
Er Cd Hg
2 5 12
Cartesian
-0.7014 -6.6066 -2.9621
-0.2406 -2.2662 -1.0161
-1.4590 -1.6693 4.0686
1.5699 -2.1251 4.3679
-2.9522 -0.2756 1.3138
-4.5383 -5.8929 2.2224
-1.5094 -6.3486 2.5217
0.6010 -0.7525 1.5361
-2.4370 -0.2514 6.6236
-2.8678 -4.3091 4.8043
0.6309 -0.3532 6.7021
0.1547 -4.8384 4.6911
-1.0904 -3.1433 7.2688
-1.8779 -4.8747 -0.6785
-3.5993 -7.6648 -0.1118
-3.1231 -3.1795 1.8993
-0.5313 -7.7665 -0.0332
-0.1005 -3.7088 1.7860
-3.5694 -7.2654 5.0542
```

=====

x.
A relaxed Er2Cd5Hg12 crystal. Source: Alexandria, functional PBE-GGA.

```
Er2Cd5Hg12
1.0
5.2265 0.0499 1.2384
1.2720 8.8752 4.7995
0.0849 -0.0521 10.1692
Er Cd Hg
2 5 12
Cartesian
0.3647 2.0521 8.9035
0.9922 6.7710 6.0652
2.2802 1.8073 3.5088
4.6059 2.6953 5.4993
2.6132 0.0249 0.6192
1.9774 6.1776 10.7077
4.3032 7.0657 12.6983
1.5185 7.8488 13.3846
1.6944 4.7312 3.6788
1.1654 0.7533 6.0715
4.0024 5.7556 5.4022
3.4166 1.3504 8.0519
2.0885 3.9535 7.0346
4.4949 4.9194 9.1724
2.5810 3.1174 10.8048
3.1668 7.5225 8.1552
4.8890 4.1418 12.5283
5.4180 8.1197 10.1356
5.0649 1.0242 2.8225
```

=====

Which one is most stable, and which one is least stable? x is the most stable of them, while w is the least stable.

=====

w.
A relaxed Er2Cd2Hg crystal. Source: Alexandria, functional PBE-GGA.

```
Er2Cd2Hg
1.0
5.8746 0.0000 0.0000
0.0000 6.2624 0.0000
-2.9373 -3.1312 7.1080
Er Cd Hg
4 4 2
Cartesian
0.0000 1.0758 4.5876
2.9373 2.0554 2.5205
0.0000 4.2070 2.5205
2.9373 -1.0758 4.5876
2.9373 2.2443 5.6873
0.0000 0.8869 1.4207
2.9373 5.3755 1.4207
0.0000 -2.2443 5.6873
4.4060 3.1312 0.0000
1.4687 3.1312 0.0000
```

=====

x.
A relaxed Er2Cd2Hg crystal. Source: Alexandria, functional PBE-GGA.

```
Er2Cd2Hg
1.0
3.4101 0.0000 0.0000
0.0000 4.6305 0.8774
0.0000 0.8918 7.9512
Er Cd Hg
2 2 1
Cartesian
1.7051 2.0002 2.1011
1.7051 3.5220 6.7274
0.0000 1.4604 4.9505
0.0000 4.0619 3.8781
0.0000 0.0000 0.0000
```

=====

Which one is most stable, and which one is least stable? x is the most stable of them, while w is the least stable.

=====

w.
A relaxed NdErCdHg crystal. Source: Alexandria, functional PBE-GGA.

```
NdErCdHg
1.0
-0.1567 -1.2117 -3.5202
0.6192 -3.4828 1.1712
-7.6261 -1.1130 0.7226
Nd Er Cd Hg
1 1 1 1
Cartesian
-0.5921 -2.4674 -1.0965
-4.3610 -3.0174 -0.7394
-6.3919 -0.9328 0.6056
-2.8953 -0.4225 0.2743
```

=====

x.
A relaxed NdErCdHg crystal. Source: Alexandria, functional PBE-GGA.

```
NdErCdHg
1.0
-2.7803 0.7609 -4.4962
-0.5054 -3.9742 -3.5321
-4.7240 -2.4035 -0.6577
Cd Nd Hg Er
1 1 1 1
Cartesian
-6.0073 -4.2126 -6.5145
0.0000 0.0000 0.0000
-2.0024 -1.4042 -2.1715
-4.0049 -2.8084 -4.3430
```

=====

Which one is most stable, and which one is least stable? w is the most stable of them, while x is the least stable.

=====

w.
A relaxed ErTlCdHg crystal. Source: Alexandria, functional PBE-GGA.

```
ErTlCdHg
1.0
-0.5182 -4.3643 1.9778
0.5214 -1.7789 -3.7888
4.7836 -0.2224 0.7627
Er Tl Cd Hg
1 1 1 1
Cartesian
0.0016 -3.0716 -0.9055
0.0000 0.0000 0.0000
2.6525 -1.0007 -1.5131
2.1327 -2.2933 1.3703
```

=====

x.
A relaxed ErTlCdHg crystal. Source: Alexandria, functional PBE-GGA.

```
ErTlCdHg
1.0
-2.3180 -0.3964 4.6025
1.6967 -3.4443 3.4600
2.4345 1.6073 4.2666
Tl Cd Hg Er
1 1 1 1
Cartesian
0.0000 0.0000 0.0000
1.3599 -1.6751 9.2468
0.9066 -1.1167 6.1646
0.4533 -0.5584 3.0823
```

=====

Which one is most stable, and which one is least stable? w is the most stable of them, while x is the least stable.